Entry 1:
This record from Alexandria via LeMat-Bulk describes a relaxed NaInAs2O7 crystal. The functional is PBEsol.

```
44
Lattice="-6.574 -0.689 -1.483 2.439 -5.455 -3.191 0.704 -4.266 13.188" Properties=species:S:1:pos:R:3 pbc="T T T"
Na -0.420 -1.931 0.606
Na -3.011 -8.479 7.909
Na -3.676 -2.272 3.934
Na 0.246 -8.138 4.580
In -0.814 -4.553 10.550
In 0.183 -4.955 2.506
In -3.614 -5.455 6.008
In -2.617 -5.857 -2.036
As -0.165 -4.910 5.902
As -3.453 -2.599 -1.036
As 0.022 -7.811 9.550
As -0.301 -2.139 4.344
As -3.129 -8.271 4.170
As -3.874 -5.564 9.475
As 0.444 -4.846 -0.961
As -3.266 -5.500 2.612
O 0.708 -6.951 1.812
O -3.183 -7.154 -0.421
O -4.138 -3.459 6.702
O -2.173 -1.477 -0.964
O -0.248 -3.256 8.935
O -0.628 -6.140 -1.191
O -1.755 -5.671 1.874
O -3.882 -6.309 7.959
O -3.382 -6.946 10.476
O -1.258 -8.933 9.478
O -2.803 -4.270 9.705
O -3.813 -7.174 2.953
O -0.049 -3.464 -1.962
O -5.425 -5.101 9.998
O -3.195 -4.615 4.066
O -4.774 -2.148 -0.085
O -1.676 -4.739 6.640
O 1.055 -5.509 6.892
O -2.879 -4.158 -0.776
O 0.451 -4.101 0.555
O -0.681 -3.001 2.933
O -2.750 -7.409 5.581
O 0.382 -3.236 5.561
O 1.344 -8.262 8.599
O -0.551 -6.252 9.290
O -0.235 -5.795 4.448
O -4.485 -4.901 1.622
O 1.995 -5.309 -1.484
```

Properties
* VASP energy: -67.3 eV per formula unit
* SG: C2/c (15)
* calculated volume: 13.54 Å³ per atom
* size of the total moment: 0.00 μB/f.u.
* uncorrected formation energy: -1.453 eV/atom

=====

Entry 2:
This record from Alexandria via LeMat-Bulk describes a relaxed Na3In2As3O12 crystal. The functional is PBEsol.

```
40
Lattice="-6.465 2.249 -0.758 0.144 -8.503 -3.376 0.677 -2.917 8.646" Properties=species:S:1:pos:R:3 pbc="T T T"
Na 0.410 -5.710 2.635
Na -1.324 -6.386 -0.219
Na -1.462 -7.828 -3.322
Na -4.183 -1.343 7.834
Na -4.320 -2.785 4.731
Na -2.822 -4.586 2.256
In -0.656 -1.333 2.930
In -4.055 -1.949 -1.196
In -4.988 -7.838 1.581
In -1.590 -7.222 5.708
As -4.937 -6.166 4.609
As -1.088 -3.908 5.114
As -1.815 -8.454 2.483
As -4.557 -5.263 -0.603
As -0.707 -3.006 -0.098
As -3.829 -0.717 2.028
O -3.840 -0.423 0.320
O -5.065 -3.705 6.836
O -5.040 -7.659 3.735
O -3.455 -0.610 5.327
O 0.353 -3.478 5.930
O -4.732 -4.832 3.622
O -5.076 0.276 2.734
O -2.189 -8.561 -0.816
O -3.609 -6.310 5.729
O -4.290 -5.962 0.947
O -0.568 -9.447 1.778
O -4.733 -3.621 -0.121
O -1.804 -8.748 4.192
O -2.035 -2.861 -1.217
O -0.912 -4.339 0.890
O -0.911 -5.550 4.632
O -3.194 -5.657 -1.559
O -2.450 -3.514 6.071
O -0.579 -5.466 -2.325
O -1.585 -6.847 2.085
O -1.354 -3.209 3.564
O -0.604 -1.512 0.777
O -5.998 -5.693 -1.418
O -4.059 -2.324 2.427
```

Properties
* VASP energy: -119.9 eV per formula unit
* SG: C2/c (15)
* calculated volume: 13.17 Å³ per atom
* size of the total moment: 0.00 μB/f.u.
* uncorrected formation energy: -1.569 eV/atom

=====

Entry 3:
This record from Alexandria via LeMat-Bulk describes a relaxed NaInAs2S crystal. The functional is PBEsol.

```
5
Lattice="-0.423 2.899 3.911 -4.864 -0.093 -0.457 -0.196 -3.932 2.893" Properties=species:S:1:pos:R:3 pbc="T T T"
Na -0.098 -1.966 1.447
As -2.432 -0.047 -0.229
As -0.212 1.449 1.955
S 0.000 0.000 0.000
In -2.742 -0.563 3.173
```

Properties
* VASP energy: -18.3 eV per formula unit
* SG: P4/mmm (123)
* calculated volume: 23.33 Å³ per atom
* size of the total moment: 0.00 μB/f.u.
* uncorrected formation energy: 0.127 eV/atom

=====

Entry 4:
This record from Alexandria via LeMat-Bulk describes a relaxed InAsSe2O crystal. The functional is PBEsol.

```
5
Lattice="-4.007 0.536 2.126 -1.442 -3.981 -1.715 1.577 -2.078 3.496" Properties=species:S:1:pos:R:3 pbc="T T T"
As 0.789 -1.039 1.748
O 0.000 0.000 0.000
Se -0.721 -1.990 -0.858
Se -2.004 0.268 1.063
In -1.936 -2.761 1.954
```

Properties
* VASP energy: -20.1 eV per formula unit
* SG: P4/mmm (123)
* calculated volume: 18.21 Å³ per atom
* size of the total moment: 0.00 μB/f.u.
* uncorrected formation energy: 0.195 eV/atom